LiSi2BO6: optimized geometry, PBE-GGA.

abc: 5.106 13.288 13.505
angles: 90.00 90.16 90.00
Fractional coordinates of all 80 atoms:
Li  0.091  0.000  0.028
Li  0.158  0.721  0.225
Li  0.351  0.216  0.289
Li  0.398  0.490  0.463
Li  0.602  0.990  0.537
Li  0.649  0.716  0.711
Li  0.842  0.221  0.775
Li  0.909  0.500  0.972
Si  0.004  0.428  0.270
Si  0.058  0.518  0.667
Si  0.178  0.287  0.977
Si  0.246  0.783  0.519
Si  0.261  0.194  0.582
Si  0.312  0.697  0.917
Si  0.432  0.930  0.228
Si  0.498  0.519  0.168
Si  0.502  0.019  0.832
Si  0.568  0.430  0.772
Si  0.688  0.197  0.083
Si  0.739  0.694  0.418
Si  0.754  0.283  0.481
Si  0.822  0.787  0.023
Si  0.942  0.018  0.333
Si  0.996  0.928  0.730
B  0.102  0.991  0.537
B  0.149  0.721  0.714
B  0.340  0.223  0.788
B  0.410  0.492  0.962
B  0.590  0.992  0.038
B  0.660  0.723  0.212
B  0.851  0.221  0.286
B  0.898  0.491  0.463
O  0.024  0.132  0.298
O  0.037  0.306  0.275
O  0.054  0.254  0.511
O  0.078  0.478  0.378
O  0.079  0.506  0.547
O  0.099  0.774  0.965
O  0.146  0.234  0.868
O  0.153  0.940  0.286
O  0.176  0.211  0.697
O  0.207  0.472  0.188
O  0.221  0.408  0.967
O  0.237  0.582  0.950
O  0.281  0.905  0.523
O  0.284  0.076  0.550
O  0.293  0.958  0.762
O  0.325  0.734  0.626
O  0.332  0.711  0.798
O  0.348  0.489  0.708
O  0.397  0.981  0.118
O  0.400  0.228  0.041
O  0.423  0.000  0.948
O  0.446  0.740  0.435
O  0.478  0.809  0.219
O  0.479  0.637  0.198
O  0.521  0.137  0.802
O  0.522  0.309  0.781
O  0.554  0.240  0.565
O  0.577  0.500  0.052
O  0.600  0.728  0.959
O  0.603  0.481  0.882
O  0.652  0.989  0.292
O  0.668  0.211  0.202
O  0.675  0.234  0.374
O  0.707  0.458  0.238
O  0.716  0.576  0.450
O  0.719  0.405  0.477
O  0.763  0.082  0.050
O  0.779  0.908  0.033
O  0.793  0.972  0.812
O  0.824  0.711  0.303
O  0.847  0.440  0.714
O  0.854  0.734  0.132
O  0.901  0.274  0.035
O  0.921  0.006  0.453
O  0.922  0.978  0.622
O  0.946  0.754  0.489
O  0.963  0.806  0.725
O  0.976  0.632  0.702

Summary:
As for the uncorrected formation energy: -2642 meV/atom. As for the energy above the most stable polymorph in this dataset: 0 meV/atom.

***

BaTb2TiN4: optimized geometry, PBE-GGA.

abc: 6.429 6.429 11.986
angles: 90.00 90.00 148.04
Fractional coordinates of all 16 atoms:
Ba  0.098  0.902  0.750
Ba  0.902  0.098  0.250
Tb  0.370  0.630  0.539
Tb  0.370  0.630  0.961
Tb  0.630  0.370  0.039
Tb  0.630  0.370  0.461
Ti  0.171  0.829  0.250
Ti  0.829  0.171  0.750
N  0.000  0.000  0.000
N  0.000  0.000  0.500
N  0.256  0.744  0.119
N  0.256  0.744  0.381
N  0.405  0.595  0.750
N  0.595  0.405  0.250
N  0.744  0.256  0.619
N  0.744  0.256  0.881

Summary:
As for the uncorrected formation energy: -1416 meV/atom.

***

> What is the formula in the first record?

LiSi2BO6